Record 1
Here is a geometry-optimized CuAg8 structure from the Open Quantum Materials Database. Energies are from GGA-PBE.

```
data_CuAg8
_chemical_formula_sum 'Cu2 Ag16'
_cell_length_a 2.9305
_cell_length_b 8.7137
_cell_length_c 12.2591
_cell_angle_alpha 90.00
_cell_angle_beta 90.00
_cell_angle_gamma 90.00
_symmetry_space_group_name_H-M 'I m m m'
_symmetry_Int_Tables_number 71
_symmetry_space_group_name_Hall '-I 2 2'
loop_
_atom_site_label
_atom_site_type_symbol
_atom_site_fract_x
_atom_site_fract_y
_atom_site_fract_z
Cu1 Cu 0.0000 0.0000 0.0000
Ag1 Ag 0.0000 0.0000 0.3332
Ag2 Ag 0.0000 0.3294 0.0000
Ag3 Ag 0.0000 0.3377 0.3377
```

Summary:
VASP energy in Ry per atom: -0.212


Record 2
Here is a geometry-optimized Cu5Ag3 structure from the Open Quantum Materials Database. Energies are from GGA-PBE.

```
data_Cu5Ag3
_chemical_formula_sum 'Cu5 Ag3'
_cell_length_a 4.6666
_cell_length_b 2.7619
_cell_length_c 8.9841
_cell_angle_alpha 90.00
_cell_angle_beta 101.81
_cell_angle_gamma 90.00
_symmetry_space_group_name_H-M 'P 1 m 1'
_symmetry_Int_Tables_number 6
loop_
_symmetry_equiv_pos_as_xyz
'x,y,z'
'x,-y,z'
loop_
_atom_site_label
_atom_site_type_symbol
_atom_site_fract_x
_atom_site_fract_y
_atom_site_fract_z
Cu1 Cu 0.0000 0.0000 0.0000
Cu2 Cu 0.0028 0.5000 0.5182
Cu3 Cu 0.2333 0.0000 0.7569
Cu4 Cu 0.7536 0.0000 0.2720
Cu5 Cu 0.7734 0.5000 0.7698
Ag1 Ag 0.2359 0.5000 0.2572
Ag2 Ag 0.5083 0.5000 0.0070
Ag3 Ag 0.5113 0.0000 0.5260
```

Summary:
VASP energy in Ry per atom: -0.241


Record 3
Here is a geometry-optimized Cu3Ag2 structure from the Open Quantum Materials Database. Energies are from GGA-PBE.

```
data_Cu3Ag2
_chemical_formula_sum 'Cu12 Ag8'
_cell_length_a 9.3487
_cell_length_b 2.8064
_cell_length_c 10.9550
_cell_angle_alpha 90.00
_cell_angle_beta 96.91
_cell_angle_gamma 90.00
_symmetry_space_group_name_H-M 'C 1 2/m 1'
_symmetry_Int_Tables_number 12
loop_
_symmetry_equiv_pos_as_xyz
'x,y,z'
'-x,-y,-z'
'-x,y,-z'
'x,-y,z'
'x+1/2,y+1/2,z'
'-x+1/2,-y+1/2,-z'
'-x+1/2,y+1/2,-z'
'x+1/2,-y+1/2,z'
loop_
_atom_site_label
_atom_site_type_symbol
_atom_site_fract_x
_atom_site_fract_y
_atom_site_fract_z
Cu1 Cu 0.0177 0.0000 0.3573
Cu2 Cu 0.0628 0.5000 0.8345
Cu3 Cu 0.1449 0.5000 0.5263
Ag1 Ag 0.1414 0.0000 0.0533
Ag2 Ag 0.2329 0.5000 0.2765
```

Summary:
VASP energy in Ry per atom: -0.241


Question: VASP energy of number 3 (Cu3Ag2)?
Answer: -0.241 Ry per atom


Question: Which value of VASP energy does entry 3 give?
Answer: -0.241 Ry per atom